AlV2Mo2 PBE relaxed; E = -8.8737 eV per atom; crystal system = monoclinic; ΔE_f = -145 meV/atom; energy above the lowest structure with this stoichiometry = 0.0 meV/atom; SG = No. 12
1.0
4.3687 0.0000 0.0000
2.1843 4.5778 0.5608
2.1843 1.5259 7.5572
Al V Mo
2 4 4
Direct
0.2504 0.7520 0.7473 Al
0.7496 0.2480 0.2527 Al
0.9386 0.2727 0.8500 V
0.8580 0.7397 0.5444 V
0.1420 0.2603 0.4556 V
0.0614 0.7273 0.1500 V
0.3555 0.2407 0.0484 Mo
0.6445 0.7593 0.9516 Mo
0.5613 0.2340 0.6433 Mo
0.4387 0.7660 0.3567 Mo